## SrMn2BiO6 (PBE+U)

Data for SrMn2BiO6 after structural relaxation.

extended XYZ file:
```
10
Lattice="3.935 -3.903 0.000 3.935 3.903 0.000 -3.897 0.000 3.999" Properties=species:S:1:pos:R:3 pbc="T T T"
Sr 0.000 0.000 0.000
Mn 2.043 1.918 2.013
Mn 2.043 -1.918 2.013
Bi -0.278 0.000 3.780
O -1.985 0.000 2.192
O 2.137 1.889 0.036
O 0.110 1.638 2.091
O 0.110 -1.638 2.091
O 2.137 -1.889 0.036
O 2.397 0.000 1.972
```

Computed properties:
VASP energy ... -0.2484 hartree per atom